A geometry-optimized CoPdSO structure. Source: OQMD, functional PBE+U.

For the total energy, the calculation gives -5.02 eV per atom.

The structure belongs to space group Cmcm (No. 63); the cell edges are 3.019, 13.370 and 5.112 Å and the angles 90.00°, 90.00° and 90.00°. The distinct sites, in fractional coordinates, are Co at (0.000, 0.052, 0.250), Pd at (0.000, 0.348, 0.250), S at (0.000, 0.303, 0.750) and O at (0.000, 0.500, 0.000).